1.
# NpHgN

A geometry-optimized NpHgN structure (PBE, Alexandria via LeMat-Bulk).

Cell: 4.4606 14.5367 3.7856 Å, 90.00 90.00 90.00°
Last column: nearest neighbours and their distance in Å.
Space group Cmcm (No. 63)
Unique sites:
1 Np 0.0000 0.0594 0.2500 (multiplicity 4)  1 N 1.86
2 Hg 0.0000 0.3463 0.2500 (multiplicity 4)  1 N 2.31
3 N 0.0000 0.1876 0.2500 (multiplicity 4)  1 Np 1.86

Output
* energy: -6.88 eV/atom
* DOS at the Fermi energy: 0.710 states/eV/atom


2.
# Np5Hg3N12

A geometry-optimized Np5Hg3N12 structure (PBE, Alexandria via LeMat-Bulk).

Cell: 13.4747 13.4747 13.4747 Å, 90.00 90.00 90.00°
Last column: nearest neighbours and their distance in Å.
Space group Ia-3d (No. 230)
Unique sites:
1 Np 0.0000 0.0000 0.0000 (multiplicity 16)  6 N 2.11
2 Np 0.0000 0.2500 0.3750 (multiplicity 24)  4 N 2.19
3 Hg 0.0000 0.2500 0.1250 (multiplicity 24)  4 N 2.22
4 N 0.0017 0.0390 0.8484 (multiplicity 96)  2 Np 2.11-2.19, 1 Hg 2.22

Output
* energy: -8.33 eV/atom
* DOS at the Fermi energy: 1.430 states/eV/atom


3.
# NpHgTeN

A geometry-optimized NpHgTeN structure (PBE, Alexandria via LeMat-Bulk).

Cell: 3.9463 3.9463 12.2150 Å, 90.00 90.00 90.00°
Last column: nearest neighbours and their distance in Å.
Space group P4/nmm (No. 129, origin choice 2)
Unique sites:
1 Np 0.2500 0.2500 0.0897 (multiplicity 2)  4 N 2.26
2 Hg 0.2500 0.7500 0.5000 (multiplicity 2)  4 Hg 2.79
3 Te 0.2500 0.2500 0.7678 (multiplicity 2)  4 Np 3.29, 4 N 3.46
4 N 0.2500 0.7500 0.0000 (multiplicity 2)  4 Np 2.26

Output
* energy: -6.89 eV/atom
* DOS at the Fermi energy: 2.092 states/eV/atom


Computed formation energy without anion corrections (kJ/mol of atoms) in order:
29.9; -4.8; -68.7